[1]
Here is La12Pr3Tm after structural relaxation from Alexandria via LeMat-Bulk. Energies are from GGA-PBE.

a = 5.2407 Å, b = 5.2407 Å, c = 20.9864 Å
α = 90.00°, β = 90.00°, γ = 90.00°
Last column: nearest neighbours and their distance in Å.
Atoms (fractional coordinates):
1 La 0.5000 0.5000 0.0000  8 La 3.68, 4 Tm 3.71
2 La 0.5000 0.5000 0.2488  4 Pr 3.71, 8 La 3.71-3.72
3 La 0.5000 0.5000 0.5000  4 Pr 3.71, 8 La 3.72
4 La 0.5000 0.5000 0.7512  4 Pr 3.71, 8 La 3.71-3.72
5 La 0.5000 0.0000 0.1230  8 La 3.68-3.72, 2 Tm 3.68, 2 Pr 3.72
6 La 0.5000 0.0000 0.3742  8 La 3.71-3.72, 4 Pr 3.72
7 La 0.5000 0.0000 0.6258  8 La 3.71-3.72, 4 Pr 3.72
8 La 0.5000 0.0000 0.8770  8 La 3.68-3.72, 2 Tm 3.68, 2 Pr 3.72
9 La 0.0000 0.5000 0.1230  8 La 3.68-3.72, 2 Tm 3.68, 2 Pr 3.72
10 La 0.0000 0.5000 0.3742  8 La 3.71-3.72, 4 Pr 3.72
11 La 0.0000 0.5000 0.6258  8 La 3.71-3.72, 4 Pr 3.72
12 La 0.0000 0.5000 0.8770  8 La 3.68-3.72, 2 Tm 3.68, 2 Pr 3.72
13 Pr 0.0000 0.0000 0.2485  12 La 3.71-3.72
14 Pr 0.0000 0.0000 0.5000  12 La 3.71-3.72
15 Pr 0.0000 0.0000 0.7515  12 La 3.71-3.72
16 Tm 0.0000 0.0000 0.0000  12 La 3.68-3.71

Calculated values
**SG**: P4/mmm
**Formation enthalpy at 0 K**: 9 kJ/mol of formula units
**DOS at the Fermi energy**: 1.62 states/eV/atom


[2]
Here is Th4HgPb after structural relaxation from Alexandria via LeMat-Bulk. Energies are from GGA-PBE.

a = 6.1985 Å, b = 7.7505 Å, c = 7.7505 Å
α = 90.00°, β = 90.00°, γ = 90.00°
Last column: nearest neighbours and their distance in Å.
Atoms (fractional coordinates):
1 Th 0.0000 0.1482 0.6563  2 Hg 3.29, 1 Th 3.34, 2 Pb 3.36
2 Th 0.0000 0.8518 0.3437  2 Hg 3.29, 1 Th 3.34, 2 Pb 3.36
3 Th 0.0000 0.3437 0.1482  2 Hg 3.29, 1 Th 3.34, 2 Pb 3.36
4 Th 0.0000 0.6563 0.8518  2 Hg 3.29, 1 Th 3.34, 2 Pb 3.36
5 Th 0.5000 0.8518 0.6563  2 Hg 3.29, 1 Th 3.34, 2 Pb 3.36
6 Th 0.5000 0.1482 0.3437  2 Hg 3.29, 1 Th 3.34, 2 Pb 3.36
7 Th 0.5000 0.6563 0.1482  2 Hg 3.29, 1 Th 3.34, 2 Pb 3.36
8 Th 0.5000 0.3437 0.8518  2 Hg 3.29, 1 Th 3.34, 2 Pb 3.36
9 Hg 0.2500 0.0000 0.0000  2 Hg 3.10, 8 Th 3.29
10 Hg 0.7500 0.0000 0.0000  2 Hg 3.10, 8 Th 3.29
11 Pb 0.2500 0.5000 0.5000  2 Pb 3.10, 8 Th 3.36
12 Pb 0.7500 0.5000 0.5000  2 Pb 3.10, 8 Th 3.36

Calculated values
**SG**: P4/mcc
**Formation enthalpy at 0 K**: -98 kJ/mol of formula units
**DOS at the Fermi energy**: 1.20 states/eV/atom